Mg2Zn5CuPd2, optimized geometry, DFT PBE; raw total energy = -2.689 eV per atom; total moment = 0.00 μB/cell; ΔE_f = -275 kJ/mol of formula units
1.0
-0.645 -1.077 3.783
-6.647 -5.481 -2.694
5.929 -6.745 -0.909
Zn Mg Cu Pd
10 4 2 4
Cartesian
-1.339 -4.952 0.462
-3.646 -3.279 0.545
-0.192 -11.216 -1.126
2.642 -3.911 1.437
-0.024 -8.350 -0.281
1.031 -6.087 0.543
-5.343 -6.919 -0.781
3.980 -6.383 0.961
-1.171 -2.086 1.306
-2.394 -7.215 -0.362
0.806 -3.155 -0.761
-3.447 -4.839 -1.965
-1.523 -9.070 -2.841
2.729 -7.386 -1.637
0.000 0.000 0.000
-0.359 -6.113 -1.801
1.039 -9.328 -2.478
-3.593 -7.330 -2.699
-1.757 -2.898 -1.124
2.875 -4.895 -0.903